Compound: CoPS
Source: Alexandria via LeMat-Bulk
Functional: PBE-GGA
Structure: relaxed

## Properties
ΔE_f (raw) in meV per atom: -73
Uncorrected energy in eV/atom: -5.620

a = 3.2841 Å, b = 2.5654 Å, c = 9.9263 Å
α = 90.00°, β = 90.00°, γ = 90.00°
Last column: nearest neighbours and their distance in Å.
Space group Amm2 (No. 38)
Asymmetric unit:
Co 0.0000 0.0000 0.0000  4 P 2.28, 2 S 2.40
P 0.5000 0.0000 0.4075  4 Co 2.28, 1 S 2.29
S 0.5000 0.0000 0.1765  1 P 2.29, 2 Co 2.40, 2 S 2.57

***

Compound: CoPS
Source: Alexandria via LeMat-Bulk
Functional: PBE-GGA
Structure: relaxed

## Properties
ΔE_f (raw) in meV per atom: -46
Uncorrected energy in eV/atom: -5.594

a = 7.3581 Å, b = 3.2865 Å, c = 4.2456 Å
α = 90.00°, β = 104.19°, γ = 90.00°
Last column: nearest neighbours and their distance in Å.
Space group Cm (No. 8)
Asymmetric unit:
Co 0.0000 0.0000 0.0000  2 P 2.15-2.19, 3 S 2.20-2.29
P 0.4362 0.5000 0.4769  1 S 2.08, 2 Co 2.15-2.19
S 0.2044 0.5000 0.0832  1 P 2.08, 3 Co 2.20-2.29

***

Compound: CoP2S2
Source: Alexandria via LeMat-Bulk
Functional: PBE-GGA
Structure: relaxed

## Properties
Energy above the lowest structure with this stoichiometry in eV per atom: 0.4775
ΔE_f (raw) in meV per atom: 1217
Uncorrected energy in eV/atom: -4.019

a = 4.4773 Å, b = 4.4773 Å, c = 4.4177 Å
α = 90.00°, β = 90.00°, γ = 90.00°
Last column: nearest neighbours and their distance in Å.
Space group P4/mmm (No. 123)
Asymmetric unit:
Co 0.0000 0.0000 0.0000  8 P 3.14, 4 S 3.17
P 0.0000 0.5000 0.5000  2 S 2.24
S 0.5000 0.5000 0.0000  2 S 2.21
S 0.5000 0.5000 0.5000  2 S 2.21, 4 P 2.24

***

Compound: CoPS
Source: Alexandria via LeMat-Bulk
Functional: PBE-GGA
Structure: relaxed

## Properties
ΔE_f (raw) in meV per atom: -180
Uncorrected energy in eV/atom: -5.728

a = 7.3838 Å, b = 3.3064 Å, c = 4.7466 Å
α = 90.00°, β = 129.51°, γ = 90.00°
Last column: nearest neighbours and their distance in Å.
Space group Cm (No. 8)
Asymmetric unit:
Co 0.0000 0.0000 0.0000  3 P 2.23-2.30, 3 S 2.26-2.32
P 0.3530 0.0000 0.1147  1 S 2.11, 3 Co 2.23-2.30
S 0.3562 0.0000 0.5629  1 P 2.11, 3 Co 2.26-2.32

***

What did the third record say?
Compound: CoP2S2
Source: Alexandria via LeMat-Bulk
Functional: PBE-GGA
Structure: relaxed

## Properties
Energy above the lowest structure with this stoichiometry in eV per atom: 0.4775
ΔE_f (raw) in meV per atom: 1217
Uncorrected energy in eV/atom: -4.019

a = 4.4773 Å, b = 4.4773 Å, c = 4.4177 Å
α = 90.00°, β = 90.00°, γ = 90.00°
Last column: nearest neighbours and their distance in Å.
Space group P4/mmm (No. 123)
Asymmetric unit:
Co 0.0000 0.0000 0.0000  8 P 3.14, 4 S 3.17
P 0.0000 0.5000 0.5000  2 S 2.24
S 0.5000 0.5000 0.0000  2 S 2.21
S 0.5000 0.5000 0.5000  2 S 2.21, 4 P 2.24